No. 1
Density functional theory data (PBE) for a relaxed ZrInBiW2 crystal.

It has space group P4/mmm (No. 123), with a = 5.048 Å, b = 5.048 Å, c = 5.331 Å, α = 90.00°, β = 90.00° and γ = 90.00°. The asymmetric unit holds Zr at (0.000, 0.000, 0.000), In at (0.500, 0.500, 0.000), Bi at (0.000, 0.000, 0.500) and W at (0.000, 0.500, 0.500).

As for the volume: 27.169 Å³ per atom. Its density is 9.6 g/cm³. As for the uncorrected energy: -30.081 eV for the cell shown. The calculation puts the density of states at the Fermi level at 1.54 states/eV per atom. The formation energy is 2.20 eV/atom. Its crystal system is tetragonal.

***

No. 2
Density functional theory data (PBE) for a relaxed Y2InBi crystal.

It has space group Cmcm (No. 63), with a = 4.567 Å, b = 24.103 Å, c = 4.403 Å, α = 90.00°, β = 90.00° and γ = 90.00°. The asymmetric unit holds Y at (0.000, 0.062, 0.250), Y at (0.000, 0.321, 0.250), In at (0.000, 0.458, 0.250) and Bi at (0.000, 0.189, 0.250).

As for the volume: 30.288 Å³ per atom. Its density is 6.9 g/cm³. As for the uncorrected energy: -88.888 eV for the cell shown. The calculation puts the density of states at the Fermi level at 0.58 states/eV per atom. The formation energy is -0.67 eV/atom. Its crystal system is orthorhombic.